Er2Be2InPd5 after structural relaxation, computed with PBE.

a = 9.698 Å, b = 9.698 Å, c = 3.488 Å
α = 90.00°, β = 90.00°, γ = 90.00°
Space group P4/mbm (No. 127)
Asymmetric unit:
Er (0.177, 0.323, 0.000) x4
Be (0.118, 0.618, 0.000) x4
In (0.000, 0.000, 0.000) x2
Pd (0.000, 0.500, 0.500) x2
Pd (0.070, 0.780, 0.500) x8

Properties
- Mass density: 10.119 g/cm3
- Size of the total moment: 0.00 Bohr magnetons per cell
- Final energy: -5.30 eV/atom

***

Er2Be3InPt4 after structural relaxation, computed with PBE.

a = 4.033 Å, b = 4.033 Å, c = 10.306 Å
α = 90.00°, β = 90.00°, γ = 90.00°
Space group P-4m2 (No. 115)
Asymmetric unit:
Er (0.000, 0.500, 0.231) x2
Be (0.000, 0.500, 0.887) x2
Be (0.500, 0.500, 0.500) x1
In (0.000, 0.000, 0.500) x1
Pt (0.000, 0.000, 0.000) x1
Pt (0.000, 0.500, 0.668) x2
Pt (0.500, 0.500, 0.000) x1

Properties
- Mass density: 12.451 g/cm3
- Size of the total moment: 0.00 Bohr magnetons per cell
- Final energy: -5.56 eV/atom

***

Er2Be2InRh5 after structural relaxation, computed with PBE.

a = 9.713 Å, b = 9.713 Å, c = 3.279 Å
α = 90.00°, β = 90.00°, γ = 90.00°
Space group P4/mbm (No. 127)
Asymmetric unit:
Er (0.177, 0.323, 0.000) x4
Be (0.120, 0.620, 0.000) x4
In (0.000, 0.000, 0.000) x2
Rh (0.000, 0.500, 0.500) x2
Rh (0.069, 0.781, 0.500) x8

Properties
- Mass density: 10.541 g/cm3
- Size of the total moment: 0.00 Bohr magnetons per cell
- Final energy: -6.40 eV/atom

***

ErScBeIn after structural relaxation, computed with PBE.

a = 6.985 Å, b = 6.985 Å, c = 6.985 Å
α = 90.00°, β = 90.00°, γ = 90.00°
Space group F-43m (No. 216)
Asymmetric unit:
Er (0.000, 0.000, 0.000) x4
Sc (0.000, 0.000, 0.500) x4
Be (0.250, 0.250, 0.750) x4
In (0.250, 0.250, 0.250) x4

Properties
- Mass density: 6.550 g/cm3
- Size of the total moment: 0.00 Bohr magnetons per cell
- Final energy: -4.47 eV/atom